PBE KVCl3, relaxed; M_tot = 0.60 μB/atom; VASP energy = -4.56 eV/atom; energy relative to the elements, uncorrected = -1410.7 meV/atom; DOS at the Fermi energy = 1.02 states/eV/cell
1.0
4.983 0.000 0.000
0.000 4.983 0.000
0.000 0.000 4.983
K V Cl
1 1 3
Direct
0.000 0.000 0.000 K
0.500 0.500 0.500 V
0.000 0.500 0.500 Cl
0.500 0.000 0.500 Cl
0.500 0.500 0.000 Cl

PBE AcNp2CrN4, relaxed; M_tot = 0.53 μB/atom; VASP energy = -10.10 eV/atom; energy relative to the elements, uncorrected = -987.7 meV/atom; DOS at the Fermi energy = 22.33 states/eV/cell
1.0
1.729 -5.899 0.000
1.729 5.899 0.000
0.000 0.000 11.525
Ac Np Cr N
2 4 2 8
Direct
0.095 0.905 0.750 Ac
0.905 0.095 0.250 Ac
0.368 0.632 0.550 Np
0.368 0.632 0.950 Np
0.632 0.368 0.050 Np
0.632 0.368 0.450 Np
0.167 0.833 0.250 Cr
0.833 0.167 0.750 Cr
0.000 0.000 0.000 N
0.000 0.000 0.500 N
0.260 0.740 0.114 N
0.260 0.740 0.386 N
0.421 0.579 0.750 N
0.579 0.421 0.250 N
0.740 0.260 0.614 N
0.740 0.260 0.886 N

PBE SmDyY2S4, relaxed; M_tot = 0.00 μB/atom; VASP energy = -6.84 eV/atom; energy relative to the elements, uncorrected = -1999.4 meV/atom; DOS at the Fermi energy = 4.93 states/eV/cell
1.0
6.842 0.000 0.000
0.000 3.905 0.000
-2.235 0.000 6.467
Sm Dy Y S
1 1 2 4
Direct
0.000 0.000 0.000 Sm
0.500 0.500 0.000 Dy
0.000 0.500 0.500 Y
0.500 0.000 0.500 Y
0.254 0.000 0.748 S
0.256 0.500 0.256 S
0.744 0.500 0.744 S
0.746 0.000 0.252 S